Entry 1:
Ta2RuCl | PBE | optimized geometry

Computed properties:
- N(E_F) (states/eV/atom) = 0.75
- ΔE_f (raw) (eV/atom) = 0.22

Unit cell a=2.949 b=4.287 c=5.433 alpha=90.00 beta=105.71 gamma=90.00
Element x y z (fractional)
Ta 0.000 0.000 0.000
Ta 0.366 0.500 0.722
Ru 0.760 0.000 0.508
Cl 0.611 0.500 0.212



Entry 2:
TaRu2Cl | PBE | optimized geometry

Computed properties:
- N(E_F) (states/eV/atom) = 0.85
- ΔE_f (raw) (eV/atom) = 0.57

Unit cell a=4.537 b=4.537 c=3.038 alpha=90.00 beta=90.00 gamma=90.00
Element x y z (fractional)
Ta 0.000 0.000 0.000
Ru 0.000 0.500 0.500
Ru 0.500 0.000 0.500
Cl 0.500 0.500 0.000



Entry 3:
TaRuCl4 | PBE | optimized geometry

Computed properties:
- N(E_F) (states/eV/atom) = 1.39
- ΔE_f (raw) (eV/atom) = 1.43

Unit cell a=5.523 b=5.523 c=5.523 alpha=60.00 beta=60.00 gamma=60.00
Element x y z (fractional)
Ta 0.000 0.000 0.000
Ru 0.250 0.250 0.250
Cl 0.126 0.625 0.625
Cl 0.625 0.126 0.625
Cl 0.625 0.625 0.126
Cl 0.625 0.625 0.625



Entry 4:
TaTlRu2Cl | PBE | optimized geometry

Computed properties:
- N(E_F) (states/eV/atom) = 1.03
- ΔE_f (raw) (eV/atom) = 0.90

Unit cell a=4.863 b=4.863 c=4.748 alpha=90.00 beta=90.00 gamma=90.00
Element x y z (fractional)
Ta 0.000 0.000 0.000
Tl 0.500 0.500 0.500
Ru 0.000 0.500 0.000
Ru 0.500 0.000 0.000
Cl 0.000 0.000 0.500